(1)
VASP calculation (PBEsol) on an optimized crystal structure of Li6Ti7Cr5O24.

CIF file:
```
data_Li6Ti7Cr5O24
_chemical_formula_sum 'Li6 Ti7 Cr5 O24'
_space_group_name_H-M_alt 'P 1'
_space_group_IT_number 1
_cell_length_a 5.875
_cell_length_b 5.847
_cell_length_c 13.065
_cell_angle_alpha 76.77
_cell_angle_beta 76.89
_cell_angle_gamma 89.61
loop_
_space_group_symop_operation_xyz
'x,y,z'
loop_
_atom_site_label
_atom_site_type_symbol
_atom_site_fract_x
_atom_site_fract_y
_atom_site_fract_z
Li1 Li 0.958 0.707 0.583
Li2 Li 0.042 0.293 0.417
Li3 Li 0.375 0.623 0.751
Li4 Li 0.707 0.956 0.083
Li5 Li 0.293 0.044 0.917
Li6 Li 0.625 0.377 0.249
O1 O 0.611 0.089 0.824
O2 O 0.580 0.607 0.340
O3 O 0.389 0.911 0.176
O4 O 0.936 0.910 0.175
O5 O 0.945 0.425 0.159
O6 O 0.579 0.059 0.340
O7 O 0.420 0.393 0.660
O8 O 0.246 0.271 0.009
O9 O 0.911 0.388 0.673
O10 O 0.244 0.725 0.007
O11 O 0.084 0.063 0.328
O12 O 0.754 0.729 0.991
O13 O 0.395 0.418 0.159
O14 O 0.722 0.245 0.506
O15 O 0.756 0.275 0.993
O16 O 0.729 0.753 0.493
O17 O 0.278 0.755 0.494
O18 O 0.916 0.937 0.672
O19 O 0.064 0.090 0.825
O20 O 0.271 0.247 0.507
O21 O 0.089 0.612 0.327
O22 O 0.055 0.575 0.841
O23 O 0.605 0.582 0.841
O24 O 0.421 0.941 0.660
Ti1 Ti 0.669 0.162 0.662
Ti2 Ti 0.824 0.332 0.835
Ti3 Ti 0.170 0.166 0.665
Ti4 Ti 0.331 0.838 0.338
Ti5 Ti 0.176 0.668 0.165
Ti6 Ti 0.830 0.834 0.335
Ti7 Ti 0.000 0.500 0.000
Cr1 Cr 0.163 0.166 0.167
Cr2 Cr 0.837 0.834 0.833
Cr3 Cr 0.500 0.000 0.500
Cr4 Cr 0.500 0.500 0.000
Cr5 Cr 0.500 0.500 0.500
```

Output
**Energy relative to the elements, uncorrected**: -2.567 eV/atom
**Spin magnetization**: 0.333 μB/atom

***

(2)
VASP calculation (PBEsol) on an optimized crystal structure of Li2TiCrO4.

CIF file:
```
data_Li2TiCrO4
_chemical_formula_sum 'Li2 Ti1 Cr1 O4'
_space_group_name_H-M_alt 'P 1'
_space_group_IT_number 1
_cell_length_a 4.029
_cell_length_b 4.029
_cell_length_c 5.015
_cell_angle_alpha 113.69
_cell_angle_beta 113.69
_cell_angle_gamma 90.00
loop_
_space_group_symop_operation_xyz
'x,y,z'
loop_
_atom_site_label
_atom_site_type_symbol
_atom_site_fract_x
_atom_site_fract_y
_atom_site_fract_z
Li1 Li 0.500 0.500 0.000
Li2 Li 0.750 0.250 0.500
Cr1 Cr 0.250 0.750 0.500
O1 O 0.495 0.995 0.989
O2 O 0.756 0.756 0.512
O3 O 0.244 0.244 0.488
O4 O 0.005 0.505 0.011
Ti1 Ti 0.000 0.000 0.000
```

Output
**Energy relative to the elements, uncorrected**: -2.347 eV/atom
**Spin magnetization**: 0.287 μB/atom

***

(3)
VASP calculation (PBEsol) on an optimized crystal structure of Li4Ti3V3Cr2O16.

CIF file:
```
data_Li4Ti3V3Cr2O16
_chemical_formula_sum 'Li4 Ti3 V3 Cr2 O16'
_space_group_name_H-M_alt 'P 1'
_space_group_IT_number 1
_cell_length_a 5.773
_cell_length_b 5.770
_cell_length_c 9.466
_cell_angle_alpha 90.07
_cell_angle_beta 90.00
_cell_angle_gamma 120.02
loop_
_space_group_symop_operation_xyz
'x,y,z'
loop_
_atom_site_label
_atom_site_type_symbol
_atom_site_fract_x
_atom_site_fract_y
_atom_site_fract_z
O1 O 0.998 0.997 0.688
O2 O 0.958 0.479 0.159
O3 O 0.521 0.479 0.159
O4 O 0.834 0.667 0.899
O5 O 0.338 0.676 0.902
O6 O 0.518 0.035 0.158
O7 O 0.170 0.834 0.398
O8 O 0.165 0.331 0.393
O9 O 0.477 0.514 0.658
O10 O 0.038 0.514 0.658
O11 O 0.334 0.170 0.896
O12 O 0.671 0.341 0.404
O13 O 0.665 0.834 0.398
O14 O 0.005 0.010 0.192
O15 O 0.837 0.170 0.896
O16 O 0.477 0.954 0.659
Cr1 Cr 0.666 0.331 0.016
Cr2 Cr 0.330 0.660 0.513
Li1 Li 0.664 0.328 0.607
Li2 Li 0.004 0.007 0.502
Li3 Li 0.003 0.007 0.006
Li4 Li 0.330 0.660 0.107
V1 V 0.352 0.173 0.290
V2 V 0.821 0.173 0.290
V3 V 0.169 0.338 0.792
Ti1 Ti 0.834 0.668 0.284
Ti2 Ti 0.164 0.821 0.784
Ti3 Ti 0.658 0.821 0.784
```

Output
**Energy relative to the elements, uncorrected**: -2.461 eV/atom
**Spin magnetization**: 0.394 μB/atom

***

(4)
VASP calculation (PBEsol) on an optimized crystal structure of Li10V5Cr3O16.

CIF file:
```
data_Li10V5Cr3O16
_chemical_formula_sum 'Li10 V5 Cr3 O16'
_space_group_name_H-M_alt 'P 1'
_space_group_IT_number 1
_cell_length_a 5.813
_cell_length_b 5.910
_cell_length_c 9.642
_cell_angle_alpha 90.50
_cell_angle_beta 90.00
_cell_angle_gamma 119.46
loop_
_space_group_symop_operation_xyz
'x,y,z'
loop_
_atom_site_label
_atom_site_type_symbol
_atom_site_fract_x
_atom_site_fract_y
_atom_site_fract_z
Li1 Li 0.185 0.796 0.955
Li2 Li 0.994 0.988 0.529
Li3 Li 0.002 0.005 0.030
Li4 Li 0.329 0.658 0.739
Li5 Li 0.390 0.198 0.455
Li6 Li 0.808 0.198 0.455
Li7 Li 0.803 0.605 0.460
Li8 Li 0.199 0.398 0.960
Li9 Li 0.611 0.796 0.955
Li10 Li 0.668 0.336 0.238
V1 V 0.170 0.341 0.232
V2 V 0.662 0.324 0.984
V3 V 0.331 0.159 0.728
V4 V 0.828 0.159 0.728
V5 V 0.328 0.655 0.483
O1 O 0.664 0.823 0.608
O2 O 0.990 0.980 0.840
O3 O 0.503 0.006 0.851
O4 O 0.837 0.168 0.111
O5 O 0.159 0.318 0.603
O6 O 0.489 0.977 0.349
O7 O 0.999 0.997 0.338
O8 O 0.014 0.516 0.347
O9 O 0.336 0.673 0.112
O10 O 0.503 0.516 0.347
O11 O 0.507 0.486 0.848
O12 O 0.159 0.823 0.608
O13 O 0.331 0.168 0.111
O14 O 0.837 0.675 0.105
O15 O 0.980 0.486 0.848
O16 O 0.666 0.331 0.609
Cr1 Cr 0.666 0.834 0.226
Cr2 Cr 0.168 0.834 0.226
Cr3 Cr 0.827 0.654 0.727
```

Output
**Energy relative to the elements, uncorrected**: -1.978 eV/atom
**Spin magnetization**: 0.617 μB/atom

***

(5)
VASP calculation (PBEsol) on an optimized crystal structure of Li4V3Cr3O12.

CIF file:
```
data_Li4V3Cr3O12
_chemical_formula_sum 'Li4 V3 Cr3 O12'
_space_group_name_H-M_alt 'P 1'
_space_group_IT_number 1
_cell_length_a 5.020
_cell_length_b 5.863
_cell_length_c 7.644
_cell_angle_alpha 78.17
_cell_angle_beta 77.58
_cell_angle_gamma 73.07
loop_
_space_group_symop_operation_xyz
'x,y,z'
loop_
_atom_site_label
_atom_site_type_symbol
_atom_site_fract_x
_atom_site_fract_y
_atom_site_fract_z
O1 O 0.749 0.692 0.597
O2 O 0.231 0.864 0.424
O3 O 0.769 0.136 0.576
O4 O 0.739 0.016 0.264
O5 O 0.264 0.636 0.076
O6 O 0.237 0.511 0.762
O7 O 0.251 0.308 0.403
O8 O 0.763 0.489 0.238
O9 O 0.252 0.189 0.093
O10 O 0.736 0.364 0.924
O11 O 0.748 0.811 0.907
O12 O 0.261 0.984 0.736
Cr1 Cr 0.500 0.000 0.500
Cr2 Cr 0.491 0.668 0.832
Cr3 Cr 0.509 0.332 0.168
Li1 Li 0.499 0.834 0.167
Li2 Li 0.501 0.166 0.833
Li3 Li 0.006 0.667 0.336
Li4 Li 0.994 0.333 0.664
V1 V 0.000 0.500 0.000
V2 V 0.006 0.829 0.674
V3 V 0.994 0.171 0.326
```

Output
**Energy relative to the elements, uncorrected**: -2.145 eV/atom
**Spin magnetization**: 0.592 μB/atom

***

(6)
VASP calculation (PBEsol) on an optimized crystal structure of Li2VCr3O8.

CIF file:
```
data_Li2VCr3O8
_chemical_formula_sum 'Li2 V1 Cr3 O8'
_space_group_name_H-M_alt 'P 1'
_space_group_IT_number 1
_cell_length_a 5.725
_cell_length_b 5.725
_cell_length_c 5.725
_cell_angle_alpha 61.22
_cell_angle_beta 61.22
_cell_angle_gamma 61.22
loop_
_space_group_symop_operation_xyz
'x,y,z'
loop_
_atom_site_label
_atom_site_type_symbol
_atom_site_fract_x
_atom_site_fract_y
_atom_site_fract_z
Li1 Li 0.125 0.125 0.125
Li2 Li 0.875 0.875 0.875
O1 O 0.735 0.735 0.285
O2 O 0.263 0.263 0.263
O3 O 0.265 0.715 0.265
O4 O 0.735 0.285 0.735
O5 O 0.737 0.737 0.737
O6 O 0.715 0.265 0.265
O7 O 0.285 0.735 0.735
O8 O 0.265 0.265 0.715
Cr1 Cr 0.000 0.500 0.500
Cr2 Cr 0.500 0.500 0.000
Cr3 Cr 0.500 0.000 0.500
V1 V 0.500 0.500 0.500
```

Output
**Energy relative to the elements, uncorrected**: -2.112 eV/atom
**Spin magnetization**: 0.636 μB/atom

***

(7)
VASP calculation (PBEsol) on an optimized crystal structure of LiVCrO4.

CIF file:
```
data_LiVCrO4
_chemical_formula_sum 'Li2 V2 Cr2 O8'
_space_group_name_H-M_alt 'P 1'
_space_group_IT_number 1
_cell_length_a 5.685
_cell_length_b 5.685
_cell_length_c 5.685
_cell_angle_alpha 88.13
_cell_angle_beta 62.73
_cell_angle_gamma 120.61
loop_
_space_group_symop_operation_xyz
'x,y,z'
loop_
_atom_site_label
_atom_site_type_symbol
_atom_site_fract_x
_atom_site_fract_y
_atom_site_fract_z
O1 O 0.976 0.235 0.241
O2 O 0.019 0.754 0.226
O3 O 0.481 0.754 0.765
O4 O 0.024 0.765 0.759
O5 O 0.524 0.783 0.241
O6 O 0.981 0.246 0.774
O7 O 0.519 0.246 0.235
O8 O 0.476 0.217 0.759
Li1 Li 0.000 0.000 0.500
Li2 Li 0.500 0.500 0.500
V1 V 0.000 0.500 0.000
V2 V 0.500 0.000 0.000
Cr1 Cr 0.000 0.000 0.000
Cr2 Cr 0.500 0.000 0.500
```

Output
**Energy relative to the elements, uncorrected**: -2.137 eV/atom
**Spin magnetization**: 0.285 μB/atom